Entry 1:
Density functional theory data (PBEsol) for a geometry-optimized Li3CoPCO7 structure.

Calculated values
Calculated total energy = -6.9169 eV/atom
Crystal system = monoclinic
SG = P2_1/m (11)
Calculated density = 3.03 g cm⁻³
Uncorrected formation energy = -1854.1 meV per atom
Density of states at the Fermi level = 10.54 states/eV per cell
Distance to the lowest polymorph of the same formula = 0.00 eV per formula unit

Lattice parameters (Å, degrees): 4.9066 6.2865 8.3880 90.00 96.12 90.00
Atoms (fractional coordinates):
Li (0.2059, 0.7500, 0.1048)
Li (0.7941, 0.2500, 0.8952)
Li (0.2666, 0.0121, 0.7255)
Li (0.7334, 0.9879, 0.2745)
Li (0.7334, 0.5121, 0.2745)
Li (0.2666, 0.4879, 0.7255)
Co (0.2110, 0.2500, 0.3294)
Co (0.7890, 0.7500, 0.6706)
P (0.2712, 0.7500, 0.4117)
P (0.7288, 0.2500, 0.5883)
C (0.3226, 0.2500, 0.0398)
C (0.6774, 0.7500, 0.9602)
O (0.4928, 0.7500, 0.8359)
O (0.5072, 0.2500, 0.1641)
O (0.0702, 0.2500, 0.0684)
O (0.9298, 0.7500, 0.9316)
O (0.8374, 0.2500, 0.4239)
O (0.1626, 0.7500, 0.5761)
O (0.5899, 0.7500, 0.4343)
O (0.4101, 0.2500, 0.5657)
O (0.3939, 0.2500, 0.8962)
O (0.6061, 0.7500, 0.1038)
O (0.8354, 0.4402, 0.6965)
O (0.8354, 0.0598, 0.6965)
O (0.1646, 0.5598, 0.3035)
O (0.1646, 0.9402, 0.3035)

---

Entry 2:
Density functional theory data (PBEsol) for a geometry-optimized Li3CoPCO7 structure.

Calculated values
Calculated total energy = -6.8927 eV/atom
Crystal system = monoclinic
SG = P2_1 (4)
Calculated density = 3.06 g cm⁻³
Uncorrected formation energy = -1829.8 meV per atom
Density of states at the Fermi level = 4.58 states/eV per cell
Distance to the lowest polymorph of the same formula = 0.31 eV per formula unit

Lattice parameters (Å, degrees): 4.8006 6.2723 8.4595 90.00 92.67 90.00
Atoms (fractional coordinates):
Li (0.2674, 0.7120, 0.1096)
Li (0.7326, 0.2120, 0.8904)
Li (0.7829, 0.5482, 0.2953)
Li (0.2171, 0.0482, 0.7047)
Li (0.2272, 0.2668, 0.3654)
Li (0.7728, 0.7668, 0.6346)
Co (0.7681, 0.0213, 0.2491)
Co (0.2319, 0.5213, 0.7509)
P (0.2900, 0.7663, 0.4166)
P (0.7100, 0.2663, 0.5834)
C (0.2511, 0.2107, 0.0398)
C (0.7489, 0.7107, 0.9602)
O (0.9896, 0.1993, 0.0680)
O (0.0104, 0.6993, 0.9320)
O (0.6764, 0.7419, 0.1064)
O (0.3236, 0.2419, 0.8936)
O (0.4434, 0.1977, 0.1496)
O (0.5566, 0.6977, 0.8504)
O (0.1492, 0.9587, 0.3322)
O (0.8508, 0.4587, 0.6678)
O (0.1958, 0.5692, 0.3186)
O (0.8042, 0.0692, 0.6814)
O (0.7861, 0.2665, 0.4074)
O (0.2139, 0.7665, 0.5926)
O (0.6123, 0.7917, 0.4118)
O (0.3877, 0.2917, 0.5882)

---

Entry 3:
Density functional theory data (PBEsol) for a geometry-optimized Li2CoCSO7 structure.

Calculated values
Calculated total energy = -6.7087 eV/atom
Crystal system = monoclinic
SG = P2_1/m (11)
Calculated density = 2.85 g cm⁻³
Uncorrected formation energy = -1505.0 meV per atom
Density of states at the Fermi level = 8.06 states/eV per cell

Lattice parameters (Å, degrees): 4.8866 6.3035 8.6938 90.00 95.76 90.00
Atoms (fractional coordinates):
Li (0.2840, 0.5164, 0.1905)
Li (0.2840, 0.9836, 0.1905)
Li (0.7160, 0.4836, 0.8095)
Li (0.7160, 0.0164, 0.8095)
Co (0.7258, 0.7500, 0.3490)
Co (0.2742, 0.2500, 0.6510)
C (0.7716, 0.7500, 0.0665)
C (0.2284, 0.2500, 0.9335)
S (0.7584, 0.2500, 0.4113)
S (0.2416, 0.7500, 0.5887)
O (0.1934, 0.2500, 0.0762)
O (0.8066, 0.7500, 0.9238)
O (0.5297, 0.7500, 0.1171)
O (0.4703, 0.2500, 0.8829)
O (0.9795, 0.7500, 0.1754)
O (0.0205, 0.2500, 0.8246)
O (0.3458, 0.7500, 0.4347)
O (0.6542, 0.2500, 0.5653)
O (0.0641, 0.2500, 0.4329)
O (0.9359, 0.7500, 0.5671)
O (0.6574, 0.0627, 0.3184)
O (0.6574, 0.4373, 0.3184)
O (0.3426, 0.5627, 0.6816)
O (0.3426, 0.9373, 0.6816)

---

Entry 4:
Density functional theory data (PBEsol) for a geometry-optimized Li4Co2C4SO16 structure.

Calculated values
Calculated total energy = -7.0465 eV/atom
Crystal system = orthorhombic
SG = Fddd (70)
Calculated density = 2.98 g cm⁻³
Uncorrected formation energy = -1480.2 meV per atom

Lattice parameters (Å, degrees): 8.9222 8.9222 9.1963 118.42 118.42 91.09
Atoms (fractional coordinates):
Li (0.9559, 0.0441, 0.5000)
Li (0.9570, 0.4570, 0.5000)
Li (0.7070, 0.7070, 0.0000)
Li (0.7059, 0.2941, 0.0000)
Li (0.5441, 0.4559, 0.5000)
Li (0.5430, 0.0430, 0.5000)
Li (0.2930, 0.2930, 0.0000)
Li (0.2941, 0.7059, 0.0000)
Co (0.1250, 0.8750, 0.7500)
Co (0.6250, 0.8750, 0.7500)
Co (0.1250, 0.8750, 0.2500)
Co (0.1250, 0.3750, 0.2500)
C (0.8968, 0.0820, 0.1674)
C (0.9794, 0.6646, 0.3326)
C (0.9180, 0.1032, 0.8326)
C (0.9146, 0.7294, 0.8326)
C (0.3354, 0.0206, 0.6674)
C (0.3320, 0.6468, 0.6674)
C (0.2706, 0.0854, 0.1674)
C (0.3532, 0.6680, 0.3326)
S (0.5000, 0.5000, 0.0000)
S (0.7500, 0.2500, 0.5000)
O (0.0262, 0.0663, 0.2992)
O (0.5606, 0.7000, 0.1191)
O (0.7520, 0.9492, 0.0200)
O (0.9820, 0.6792, 0.4800)
O (0.0508, 0.2480, 0.9800)
O (0.9725, 0.7979, 0.3100)
O (0.3000, 0.4394, 0.8809)
O (0.5585, 0.4191, 0.1191)
O (0.4879, 0.6626, 0.6900)
O (0.9292, 0.7320, 0.9800)
O (0.9770, 0.5171, 0.2008)
O (0.5809, 0.4415, 0.8809)
O (0.9337, 0.9738, 0.7008)
O (0.7671, 0.7270, 0.7008)
O (0.9126, 0.2379, 0.1900)
O (0.2021, 0.0275, 0.6900)
O (0.0479, 0.7225, 0.8100)
O (0.3374, 0.5121, 0.3100)
O (0.4829, 0.0230, 0.7992)
O (0.3163, 0.7762, 0.7992)
O (0.6691, 0.3085, 0.6191)
O (0.2730, 0.2329, 0.2992)
O (0.3209, 0.0180, 0.5200)
O (0.7621, 0.0874, 0.8100)
O (0.6915, 0.3309, 0.3809)
O (0.9500, 0.3106, 0.6191)
O (0.2775, 0.9521, 0.1900)
O (0.1992, 0.5020, 0.5200)
O (0.2680, 0.0708, 0.0200)
O (0.4980, 0.8008, 0.4800)
O (0.6894, 0.0500, 0.3809)
O (0.2238, 0.6837, 0.2008)

---

Entry 5:
Density functional theory data (PBEsol) for a geometry-optimized Li6Co2C4SO16 structure.

Calculated values
Calculated total energy = -6.9031 eV/atom
Crystal system = cubic
SG = Fd-3 (203)
Calculated density = 2.99 g cm⁻³
Uncorrected formation energy = -1585.1 meV per atom
Density of states at the Fermi level = 42.06 states/eV per cell

Lattice parameters (Å, degrees): 9.2018 9.2018 9.2018 60.00 60.00 60.00
Atoms (fractional coordinates):
Li (0.7823, 0.2177, 0.2177)
Li (0.7823, 0.2177, 0.7823)
Li (0.2177, 0.2177, 0.7823)
Li (0.7823, 0.7823, 0.2177)
Li (0.0323, 0.4677, 0.4677)
Li (0.0323, 0.4677, 0.0323)
Li (0.2177, 0.7823, 0.2177)
Li (0.2177, 0.7823, 0.7823)
Li (0.0323, 0.0323, 0.4677)
Li (0.4677, 0.4677, 0.0323)
Li (0.4677, 0.0323, 0.0323)
Li (0.4677, 0.0323, 0.4677)
Co (0.6250, 0.1250, 0.6250)
Co (0.6250, 0.6250, 0.1250)
Co (0.6250, 0.6250, 0.6250)
Co (0.1250, 0.6250, 0.6250)
C (0.7966, 0.4011, 0.4011)
C (0.4011, 0.4011, 0.7966)
C (0.4011, 0.4011, 0.4011)
C (0.4011, 0.7966, 0.4011)
C (0.8489, 0.4534, 0.8489)
C (0.8489, 0.8489, 0.8489)
C (0.8489, 0.8489, 0.4534)
C (0.4534, 0.8489, 0.8489)
S (0.2500, 0.2500, 0.2500)
S (0.0000, 0.0000, 0.0000)
O (0.4482, 0.1839, 0.1839)
O (0.1839, 0.1839, 0.4482)
O (0.1839, 0.1839, 0.1839)
O (0.1839, 0.4482, 0.1839)
O (0.7973, 0.2561, 0.4098)
O (0.7973, 0.4098, 0.5368)
O (0.5368, 0.2561, 0.7973)
O (0.7973, 0.5368, 0.2561)
O (0.4098, 0.2561, 0.5368)
O (0.5368, 0.4098, 0.2561)
O (0.4098, 0.5368, 0.7973)
O (0.2561, 0.4098, 0.7973)
O (0.5368, 0.7973, 0.4098)
O (0.2561, 0.5368, 0.4098)
O (0.4098, 0.7973, 0.2561)
O (0.9939, 0.4527, 0.7132)
O (0.2561, 0.7973, 0.5368)
O (0.8402, 0.4527, 0.9939)
O (0.9939, 0.7132, 0.8402)
O (0.7132, 0.4527, 0.8402)
O (0.9939, 0.8402, 0.4527)
O (0.8402, 0.7132, 0.4527)
O (0.7132, 0.8402, 0.9939)
O (0.8402, 0.9939, 0.7132)
O (0.4527, 0.7132, 0.9939)
O (0.7132, 0.9939, 0.4527)
O (0.4527, 0.8402, 0.7132)
O (0.4527, 0.9939, 0.8402)
O (0.0661, 0.8018, 0.0661)
O (0.0661, 0.0661, 0.0661)
O (0.0661, 0.0661, 0.8018)
O (0.8018, 0.0661, 0.0661)

---

Entry 6:
Density functional theory data (PBEsol) for a geometry-optimized Li3CoSiCO7 structure.

Calculated values
Calculated total energy = -6.9772 eV/atom
Crystal system = monoclinic
SG = P2_1/m (11)
Calculated density = 3.15 g cm⁻³
Uncorrected formation energy = -1917.8 meV per atom

Lattice parameters (Å, degrees): 4.8829 6.1806 8.1423 90.00 95.18 90.00
Atoms (fractional coordinates):
Li (0.7785, 0.7500, 0.8906)
Li (0.2412, 0.9756, 0.7110)
Li (0.2412, 0.5244, 0.7110)
Li (0.7588, 0.4756, 0.2890)
Li (0.7588, 0.0244, 0.2890)
Li (0.2215, 0.2500, 0.1094)
Co (0.8032, 0.2500, 0.6834)
Co (0.1968, 0.7500, 0.3166)
Si (0.7181, 0.7500, 0.5750)
Si (0.2819, 0.2500, 0.4250)
C (0.6976, 0.2500, 0.9597)
C (0.3024, 0.7500, 0.0403)
O (0.3669, 0.7500, 0.8923)
O (0.9490, 0.2500, 0.9190)
O (0.5151, 0.2500, 0.8333)
O (0.8208, 0.9473, 0.7015)
O (0.8208, 0.5527, 0.7015)
O (0.3795, 0.7500, 0.5362)
O (0.1463, 0.2500, 0.5987)
O (0.8537, 0.7500, 0.4013)
O (0.6205, 0.2500, 0.4638)
O (0.1792, 0.4473, 0.2985)
O (0.1792, 0.0527, 0.2985)
O (0.4849, 0.7500, 0.1667)
O (0.0510, 0.7500, 0.0810)
O (0.6331, 0.2500, 0.1077)

---

Entry 7:
Density functional theory data (PBEsol) for a geometry-optimized LiCo2CS structure.

Calculated values
Calculated total energy = -5.9667 eV/atom
Crystal system = tetragonal
SG = P4/mmm (123)
Calculated density = 4.76 g cm⁻³
Uncorrected formation energy = 327.0 meV per atom
Density of states at the Fermi level = 5.72 states/eV per cell

Lattice parameters (Å, degrees): 3.6150 3.6150 4.5079 90.00 90.00 90.00
Atoms (fractional coordinates):
S (0.0000, 0.0000, 0.5000)
Co (0.0000, 0.5000, 0.0000)
Co (0.5000, 0.0000, 0.0000)
C (0.0000, 0.0000, 0.0000)
Li (0.5000, 0.5000, 0.5000)

---

Entry 8:
Density functional theory data (PBEsol) for a geometry-optimized LuCoC2 structure.

Calculated values
Calculated total energy = -8.4199 eV/atom
Energy of formation = -0.446 eV per atom
Crystal system = orthorhombic
SG = Amm2 (38)
Calculated density = 9.73 g cm⁻³
Density of states at the Fermi level = 1.58 states/eV per cell

Lattice parameters (Å, degrees): 3.6749 3.6749 3.3846 90.00 90.00 105.61
Atoms (fractional coordinates):
C (0.4601, 0.8508, 0.5000)
C (0.1492, 0.5399, 0.5000)
Lu (0.9995, 0.0005, 0.0000)
Co (0.6162, 0.3838, 0.5000)

---

Entry 9:
Density functional theory data (PBEsol) for a geometry-optimized Mg6CoC structure.

Calculated values
Calculated total energy = -3.0846 eV/atom
Energy of formation = 0.376 eV per atom
Crystal system = orthorhombic
SG = Amm2 (38)
Calculated density = 2.57 g cm⁻³
Density of states at the Fermi level = 4.95 states/eV per cell

Lattice parameters (Å, degrees): 3.1574 6.8634 6.8634 109.63 90.00 90.00
Atoms (fractional coordinates):
Mg (0.0000, 0.2235, 0.4099)
Mg (0.0000, 0.5901, 0.7765)
Mg (0.0000, 0.6376, 0.3624)
Mg (0.5000, 0.3378, 0.0057)
Mg (0.5000, 0.9943, 0.6622)
Mg (0.5000, 0.8557, 0.1443)
Co (0.0000, 0.0234, 0.9766)
C (0.5000, 0.3376, 0.6624)

---

Entry 10:
Density functional theory data (PBEsol) for a geometry-optimized Mn2CoRhC structure.

Calculated values
Calculated total energy = -8.8011 eV/atom
Energy of formation = 0.207 eV per atom
Crystal system = tetragonal
SG = P4/mmm (123)
Calculated density = 8.33 g cm⁻³
Density of states at the Fermi level = 7.71 states/eV per cell

Lattice parameters (Å, degrees): 3.7966 3.7966 3.9236 90.00 90.00 90.00
Atoms (fractional coordinates):
Co (0.5000, 0.5000, 0.5000)
C (0.0000, 0.0000, 0.0000)
Mn (0.0000, 0.5000, 0.0000)
Mn (0.5000, 0.0000, 0.0000)
Rh (0.0000, 0.0000, 0.5000)

---

Entry 11:
Density functional theory data (PBEsol) for a geometry-optimized Co2Mo4C structure.

Calculated values
Calculated total energy = -10.4310 eV/atom
Energy of formation = -0.118 eV per atom
Crystal system = cubic
SG = Fd-3m (227)
Calculated density = 9.83 g cm⁻³
Density of states at the Fermi level = 29.26 states/eV per cell

Lattice parameters (Å, degrees): 7.8878 7.8878 7.8878 60.00 60.00 60.00
Atoms (fractional coordinates):
Co (0.4189, 0.4189, 0.7434)
Co (0.8311, 0.5066, 0.8311)
Co (0.8311, 0.8311, 0.8311)
Co (0.5066, 0.8311, 0.8311)
Co (0.4189, 0.4189, 0.4189)
Co (0.7434, 0.4189, 0.4189)
Co (0.4189, 0.7434, 0.4189)
Co (0.8311, 0.8311, 0.5066)
Mo (0.6250, 0.6250, 0.1250)
Mo (0.6250, 0.1250, 0.6250)
Mo (0.6250, 0.6250, 0.6250)
Mo (0.1250, 0.6250, 0.6250)
Mo (0.0619, 0.0619, 0.4381)
Mo (0.1881, 0.8119, 0.8119)
Mo (0.8119, 0.1881, 0.1881)
Mo (0.8119, 0.8119, 0.1881)
Mo (0.8119, 0.1881, 0.8119)
Mo (0.1881, 0.8119, 0.1881)
Mo (0.4381, 0.0619, 0.4381)
Mo (0.0619, 0.4381, 0.4381)
Mo (0.4381, 0.0619, 0.0619)
Mo (0.0619, 0.4381, 0.0619)
Mo (0.1881, 0.1881, 0.8119)
Mo (0.4381, 0.4381, 0.0619)
C (0.1250, 0.1250, 0.6250)
C (0.1250, 0.6250, 0.1250)
C (0.1250, 0.1250, 0.1250)
C (0.6250, 0.1250, 0.1250)

---

Entry 12:
Density functional theory data (PBEsol) for a geometry-optimized Co6Mo6C structure.

Calculated values
Calculated total energy = -9.8511 eV/atom
Energy of formation = -0.107 eV per atom
Crystal system = cubic
SG = Fd-3m (227)
Calculated density = 10.12 g cm⁻³
Density of states at the Fermi level = 31.02 states/eV per cell

Lattice parameters (Å, degrees): 7.5869 7.5869 7.5869 60.00 60.00 60.00
Atoms (fractional coordinates):
Co (0.9178, 0.2467, 0.9178)
Co (0.9178, 0.9178, 0.2467)
Co (0.9178, 0.9178, 0.9178)
Co (0.2467, 0.9178, 0.9178)
Co (0.3322, 0.0033, 0.3322)
Co (0.3322, 0.3322, 0.0033)
Co (0.3322, 0.3322, 0.3322)
Co (0.0033, 0.3322, 0.3322)
Co (0.1250, 0.6250, 0.1250)
Co (0.1250, 0.1250, 0.6250)
Co (0.1250, 0.1250, 0.1250)
Co (0.6250, 0.1250, 0.1250)
Mo (0.9490, 0.9490, 0.5510)
Mo (0.5510, 0.9490, 0.5510)
Mo (0.5510, 0.9490, 0.9490)
Mo (0.5510, 0.5510, 0.9490)
Mo (0.9490, 0.5510, 0.9490)
Mo (0.9490, 0.5510, 0.5510)
Mo (0.3010, 0.3010, 0.6990)
Mo (0.6990, 0.3010, 0.6990)
Mo (0.6990, 0.3010, 0.3010)
Mo (0.6990, 0.6990, 0.3010)
Mo (0.3010, 0.6990, 0.3010)
Mo (0.3010, 0.6990, 0.6990)
C (0.7500, 0.7500, 0.7500)
C (0.5000, 0.5000, 0.5000)

---

Entry 13:
Density functional theory data (PBEsol) for a geometry-optimized Co3Mo3C structure.

Calculated values
Calculated total energy = -9.8264 eV/atom
Energy of formation = -0.089 eV per atom
Crystal system = cubic
SG = Fd-3m (227)
Calculated density = 9.75 g cm⁻³
Density of states at the Fermi level = 28.87 states/eV per cell

Lattice parameters (Å, degrees): 7.7163 7.7163 7.7163 60.00 60.00 60.00
Atoms (fractional coordinates):
Co (0.1250, 0.1250, 0.1250)
Co (0.1250, 0.1250, 0.6250)
Co (0.1250, 0.6250, 0.1250)
Co (0.6250, 0.1250, 0.1250)
Co (0.9202, 0.9202, 0.9202)
Co (0.9202, 0.9202, 0.2393)
Co (0.9202, 0.2393, 0.9202)
Co (0.2393, 0.9202, 0.9202)
Co (0.3298, 0.3298, 0.3298)
Co (0.3298, 0.3298, 0.0107)
Co (0.3298, 0.0107, 0.3298)
Co (0.0107, 0.3298, 0.3298)
Mo (0.7027, 0.7027, 0.2973)
Mo (0.2973, 0.2973, 0.7027)
Mo (0.7027, 0.2973, 0.7027)
Mo (0.2973, 0.7027, 0.2973)
Mo (0.7027, 0.2973, 0.2973)
Mo (0.2973, 0.7027, 0.7027)
Mo (0.5473, 0.5473, 0.9527)
Mo (0.9527, 0.9527, 0.5473)
Mo (0.5473, 0.9527, 0.5473)
Mo (0.9527, 0.5473, 0.9527)
Mo (0.5473, 0.9527, 0.9527)
Mo (0.9527, 0.5473, 0.5473)
C (0.6250, 0.6250, 0.6250)
C (0.6250, 0.6250, 0.1250)
C (0.6250, 0.1250, 0.6250)
C (0.1250, 0.6250, 0.6250)

---

Entry 14:
Density functional theory data (PBEsol) for a geometry-optimized CoTcMoC2 structure.

Calculated values
Calculated total energy = -7.8710 eV/atom
Energy of formation = 2.141 eV per atom
Crystal system = tetragonal
SG = P4/mmm (123)
Calculated density = 6.29 g cm⁻³
Density of states at the Fermi level = 7.12 states/eV per cell

Lattice parameters (Å, degrees): 3.8486 3.8486 4.9316 90.00 90.00 90.00
Atoms (fractional coordinates):
C (0.0000, 0.5000, 0.0000)
C (0.5000, 0.0000, 0.0000)
Mo (0.0000, 0.0000, 0.5000)
Co (0.5000, 0.5000, 0.5000)
Tc (0.0000, 0.0000, 0.0000)